{
  "formula": "Np3Tl4NiTe8",
  "functional": "PBE-GGA",
  "state": "relaxed",
  "lattice": [[8.710, 0.000, 0.000], [0.000, 9.629, 0.636], [-4.355, -4.353, 6.165]],
  "species": ["Np", "Np", "Np", "Tl", "Tl", "Tl", "Tl", "Ni", "Te", "Te", "Te", "Te", "Te", "Te", "Te", "Te"],
  "fractional_positions": [[0.500, 0.500, 0.000], [0.500, 0.500, 0.500], [0.000, 0.500, 0.500], [0.500, 0.000, 0.000], [0.500, 0.000, 0.500], [0.000, 0.000, 0.000], [0.000, 0.000, 0.500], [0.000, 0.500, 0.000], [0.223, 0.700, 0.978], [0.224, 0.701, 0.447], [0.261, 0.282, 0.522], [0.755, 0.700, 0.978], [0.245, 0.300, 0.022], [0.739, 0.718, 0.478], [0.776, 0.299, 0.553], [0.777, 0.300, 0.022]],
  "rho_g_cm3": 8.0,
  "raw_formation_energy_kj_per_mol_atoms": -39.13,
  "spacegroup": "No. 12",
  "crystal_system": "monoclinic"
}